Entry 1:
Below is crystalline CrCoRu2 at its relaxed geometry, with properties calculated at the PBE level.

Calculated values
Space-group type = I-4m2
Calculated volume = 50 Å³ per cell
E above lowest polymorph = 19.5 meV per atom
Final energy = -8.74 eV/atom
Calculated density = 10.33 g/cm3

Unit cell a=4.537 b=4.537 c=4.537 alpha=132.16 beta=132.16 gamma=69.97
Sites, in units of the cell vectors:
Ru  0.000  0.000  0.000
Ru  0.250  0.750  0.500
Co  0.500  0.500  0.000
Cr  0.750  0.250  0.500

---

Entry 2:
Below is crystalline CrCo4Ru at its relaxed geometry, with properties calculated at the PBE level.

Calculated values
Space-group type = F-43m
Calculated volume = 72 Å³ per cell
Final energy = -7.73 eV/atom
Calculated density = 8.99 g/cm3

Unit cell a=4.666 b=4.666 c=4.666 alpha=60.00 beta=60.00 gamma=60.00
Sites, in units of the cell vectors:
Cr  0.750  0.750  0.750
Co  0.875  0.375  0.375
Co  0.375  0.375  0.875
Co  0.375  0.875  0.375
Co  0.375  0.375  0.375
Ru  0.000  0.000  0.000